Compound: AlCrTeO6
Source: the Alexandria database
Functional: PBE with a Hubbard U
Structure: optimized geometry

The value obtained for the density of states at the Fermi level is 0.00 states/eV/atom. Its mass density is 5.3 g/cm³. The energy is -6.69 eV per atom.

The space group is P-31c (No. 163) and the conventional cell measures 4.9718, 4.9718 and 8.7919 Å, with angles of 90.00, 90.00 and 120.00 degrees. Symmetry generates all atoms from Al at (0.3333, 0.6667, 0.2500), Cr at (0.0000, 0.0000, 0.0000), Te at (0.3333, 0.6667, 0.7500) and O at (0.0053, 0.3494, 0.1313).